{"formula": "Rb5Li6B11O22", "functional": "PBEsol", "state": "optimized geometry", "dos_at_fermi_per_ev_cell": 0.00, "magnetic_moment_mub_per_cell": 0.00, "formation_energy_uncorrected_mev_per_atom": -2362, "cell": [[-4.058, 2.735, -4.760], [-2.936, -4.156, 4.551], [1.358, 9.880, 9.358]], "species": ["Rb", "Rb", "Rb", "Rb", "Rb", "Li", "Li", "Li", "Li", "Li", "Li", "B", "B", "B", "B", "B", "B", "B", "B", "B", "B", "B", "O", "O", "O", "O", "O", "O", "O", "O", "O", "O", "O", "O", "O", "O", "O", "O", "O", "O", "O", "O", "O", "O"], "fractional_positions": [[0.526, 0.945, 0.213], [0.732, 0.313, 0.787], [0.526, 0.515, 0.412], [0.103, 0.114, 0.588], [0.986, 0.986, 0.000], [0.994, 0.431, 0.406], [0.025, 0.589, 0.594], [0.115, 0.435, 0.232], [0.204, 0.883, 0.768], [0.455, 0.082, 0.954], [0.128, 0.501, 0.046], [0.513, 0.447, 0.164], [0.283, 0.349, 0.836], [0.243, 0.845, 0.409], [0.436, 0.834, 0.591], [0.943, 0.687, 0.234], [0.453, 0.709, 0.766], [0.051, 0.052, 0.316], [0.736, 0.735, 0.684], [0.633, 0.133, 0.500], [0.760, 0.395, 0.074], [0.321, 0.686, 0.926], [0.310, 0.434, 0.158], [0.276, 0.151, 0.842], [0.949, 0.576, 0.140], [0.436, 0.809, 0.860], [0.017, 0.231, 0.317], [0.914, 0.699, 0.683], [0.540, 0.327, 0.086], [0.241, 0.455, 0.914], [0.708, 0.570, 0.246], [0.324, 0.462, 0.754], [0.822, 0.322, 0.500], [0.141, 0.996, 0.407], [0.588, 0.733, 0.593], [0.486, 0.983, 0.410], [0.573, 0.076, 0.590], [0.996, 0.917, 0.224], [0.693, 0.772, 0.776], [0.114, 0.672, 0.318], [0.354, 0.795, 0.682], [0.232, 0.732, 0.500], [0.787, 0.285, 0.000], [0.285, 0.787, 0.000]]}